(1)
Entry from Alexandria via LeMat-Bulk: a relaxed Sm4RuSeI2 crystal (PBE).

Properties
Total magnetization ... 0.00 μB/f.u.
E_form (uncorrected) ... -1007 meV per atom
N(E_F) ... 0.66 states/eV per atom
Uncorrected energy ... -0.1966 hartree per atom
Volume ... 246.8 Å³ per cell
Crystal system ... monoclinic

```
data_Sm4RuSeI2
_cell_length_a 7.6538
_cell_length_b 4.1236
_cell_length_c 8.1348
_cell_angle_alpha 90.00
_cell_angle_beta 106.02
_cell_angle_gamma 90.00
_space_group_name_H-M_alt 'P 1 2/m 1'
_space_group_IT_number 10
_space_group_name_Hall '-P 2y'
loop_
_atom_site_label
_atom_site_type_symbol
_atom_site_fract_x
_atom_site_fract_y
_atom_site_fract_z
Sm1 Sm 0.2059 0.0000 0.1861
Sm2 Sm 0.2433 0.5000 0.8127
Ru1 Ru 0.0000 0.5000 0.0000
Se1 Se 0.5000 0.0000 0.0000
I1 I 0.0000 0.0000 0.5000
I2 I 0.5000 0.5000 0.5000
```

(2)
Entry from Alexandria via LeMat-Bulk: a relaxed LiMgSi2 crystal (PBE).

Properties
Total magnetization ... 0.00 μB/f.u.
E_form (uncorrected) ... 47 meV per atom
N(E_F) ... 0.42 states/eV per atom
Uncorrected energy ... -0.1302 hartree per atom
Volume ... 128.7 Å³ per cell
Crystal system ... tetragonal

```
data_LiMgSi2
_cell_length_a 3.9344
_cell_length_b 3.9344
_cell_length_c 8.3127
_cell_angle_alpha 90.00
_cell_angle_beta 90.00
_cell_angle_gamma 90.00
_space_group_name_H-M_alt 'I -4 m 2'
_space_group_IT_number 119
_space_group_name_Hall 'I -4 -2'
loop_
_atom_site_label
_atom_site_type_symbol
_atom_site_fract_x
_atom_site_fract_y
_atom_site_fract_z
Li1 Li 0.0000 0.0000 0.0000
Mg1 Mg 0.0000 0.5000 0.7500
Si1 Si 0.0000 0.0000 0.5000
Si2 Si 0.0000 0.5000 0.2500
```

(3)
Entry from Alexandria via LeMat-Bulk: a relaxed La4Y6Tm crystal (PBE).

Properties
Total magnetization ... 0.00 μB/f.u.
N(E_F) ... 1.52 states/eV per atom
Uncorrected energy ... -0.1993 hartree per atom
Volume ... 786.0 Å³ per cell
Crystal system ... tetragonal
ΔE_f ... 0.301 eV per atom

```
data_La4Y6Tm
_cell_length_a 6.7749
_cell_length_b 6.7749
_cell_length_c 17.1234
_cell_angle_alpha 90.00
_cell_angle_beta 90.00
_cell_angle_gamma 90.00
_space_group_name_H-M_alt 'I -4 2 m'
_space_group_IT_number 121
_space_group_name_Hall 'I -4 2'
loop_
_atom_site_label
_atom_site_type_symbol
_atom_site_fract_x
_atom_site_fract_y
_atom_site_fract_z
La1 La 0.1879 0.1879 0.1770
Y1 Y 0.0000 0.5000 0.0000
Y2 Y 0.1752 0.1752 0.3800
Tm1 Tm 0.0000 0.0000 0.0000
```

(4)
Entry from Alexandria via LeMat-Bulk: a relaxed MnGeCSe crystal (PBE).

Properties
Total magnetization ... 0.00 μB/f.u.
E_form (uncorrected) ... 439 meV per atom
N(E_F) ... 0.50 states/eV per atom
ΔE to the lowest computed polymorph ... 0.1294 eV/atom
Uncorrected energy ... -0.2273 hartree per atom
Volume ... 65.7 Å³ per cell
Crystal system ... monoclinic

```
data_MnGeCSe
_cell_length_a 3.9518
_cell_length_b 2.9504
_cell_length_c 5.6577
_cell_angle_alpha 90.00
_cell_angle_beta 95.06
_cell_angle_gamma 90.00
_space_group_name_H-M_alt 'P 1 m 1'
_space_group_IT_number 6
_space_group_name_Hall 'P -2y'
loop_
_atom_site_label
_atom_site_type_symbol
_atom_site_fract_x
_atom_site_fract_y
_atom_site_fract_z
Mn1 Mn 0.0000 0.0000 0.0000
Ge1 Ge 0.5436 0.0000 0.2645
C1 C 0.1888 0.5000 0.1437
Se1 Se 0.4767 0.0000 0.7232
```

(5)
Entry from Alexandria via LeMat-Bulk: a relaxed Cr2TcNi crystal (PBE).

Properties
Total magnetization ... 0.00 μB/f.u.
N(E_F) ... 0.93 states/eV per atom
Uncorrected energy ... -0.3214 hartree per atom
Volume ... 98.3 Å³ per cell
Crystal system ... orthorhombic
ΔE_f ... 0.103 eV per atom

```
data_Cr2TcNi
_cell_length_a 3.0261
_cell_length_b 4.0393
_cell_length_c 8.0414
_cell_angle_alpha 90.00
_cell_angle_beta 90.00
_cell_angle_gamma 90.00
_space_group_name_H-M_alt 'C m m 2'
_space_group_IT_number 35
_space_group_name_Hall 'C 2 -2'
loop_
_atom_site_label
_atom_site_type_symbol
_atom_site_fract_x
_atom_site_fract_y
_atom_site_fract_z
Cr1 Cr 0.0000 0.0000 0.0000
Cr2 Cr 0.0000 0.5000 0.2397
Tc1 Tc 0.0000 0.5000 0.7372
Ni1 Ni 0.0000 0.0000 0.4759
```

(6)
Entry from Alexandria via LeMat-Bulk: a relaxed YCdHgPb crystal (PBE).

Properties
Total magnetization ... 0.00 μB/f.u.
N(E_F) ... 0.34 states/eV per atom
ΔE to the lowest computed polymorph ... 0.0000 eV/atom
Uncorrected energy ... -0.1177 hartree per atom
Volume ... 101.4 Å³ per cell
Crystal system ... orthorhombic
ΔE_f ... -0.355 eV per atom

```
data_YCdHgPb
_cell_length_a 4.4385
_cell_length_b 4.6540
_cell_length_c 4.9081
_cell_angle_alpha 90.00
_cell_angle_beta 90.00
_cell_angle_gamma 90.00
_space_group_name_H-M_alt 'P m m m'
_space_group_IT_number 47
_space_group_name_Hall '-P 2 2'
loop_
_atom_site_label
_atom_site_type_symbol
_atom_site_fract_x
_atom_site_fract_y
_atom_site_fract_z
Y1 Y 0.0000 0.0000 0.0000
Cd1 Cd 0.0000 0.5000 0.5000
Hg1 Hg 0.5000 0.0000 0.5000
Pb1 Pb 0.5000 0.5000 0.0000
```

(7)
Entry from Alexandria via LeMat-Bulk: a relaxed Mg2AlZn crystal (PBE).

Properties
Total magnetization ... 0.00 μB/f.u.
N(E_F) ... 0.33 states/eV per atom
Uncorrected energy ... -0.0749 hartree per atom
Volume ... 314.1 Å³ per cell
Crystal system ... monoclinic
ΔE_f ... 0.013 eV per atom

```
data_Mg2AlZn
_cell_length_a 9.5095
_cell_length_b 5.5589
_cell_length_c 6.2831
_cell_angle_alpha 90.00
_cell_angle_beta 108.98
_cell_angle_gamma 90.00
_space_group_name_H-M_alt 'C 1 2/c 1'
_space_group_IT_number 15
_space_group_name_Hall '-C 2yc'
loop_
_atom_site_label
_atom_site_type_symbol
_atom_site_fract_x
_atom_site_fract_y
_atom_site_fract_z
Mg1 Mg 0.2180 0.0054 0.1081
Al1 Al 0.0000 0.2698 0.2500
Zn1 Zn 0.0000 0.2506 0.7500
```

(8)
Entry from Alexandria via LeMat-Bulk: a relaxed Nd2Ho5Tl crystal (PBE).

Properties
Total magnetization ... 0.00 μB/f.u.
N(E_F) ... 1.21 states/eV per atom
ΔE to the lowest computed polymorph ... 0.0000 eV/atom
Uncorrected energy ... -0.1622 hartree per atom
Volume ... 494.7 Å³ per cell
Crystal system ... monoclinic
ΔE_f ... -0.065 eV per atom

```
data_Nd2Ho5Tl
_cell_length_a 11.2654
_cell_length_b 7.1253
_cell_length_c 8.3186
_cell_angle_alpha 90.00
_cell_angle_beta 132.19
_cell_angle_gamma 90.00
_space_group_name_H-M_alt 'C 1 m 1'
_space_group_IT_number 8
_space_group_name_Hall 'C -2y'
loop_
_atom_site_label
_atom_site_type_symbol
_atom_site_fract_x
_atom_site_fract_y
_atom_site_fract_z
Nd1 Nd 0.0000 0.0000 0.0000
Nd2 Nd 0.1124 0.0000 0.6869
Ho1 Ho 0.0368 0.5000 0.0011
Ho2 Ho 0.2728 0.2505 0.5088
Ho3 Ho 0.3558 0.2381 0.1722
Tl1 Tl 0.0915 0.5000 0.6499
```

(9)
Entry from Alexandria via LeMat-Bulk: a relaxed AcPaGa2O8 crystal (PBE).

Properties
Total magnetization ... 0.87 μB/f.u.
E_form (uncorrected) ... -2350 meV per atom
N(E_F) ... 0.74 states/eV per atom
Uncorrected energy ... -0.2680 hartree per atom
Volume ... 355.4 Å³ per cell
Crystal system ... tetragonal

```
data_AcPaGa2O8
_cell_length_a 7.1638
_cell_length_b 7.1638
_cell_length_c 6.9248
_cell_angle_alpha 90.00
_cell_angle_beta 90.00
_cell_angle_gamma 90.00
_space_group_name_H-M_alt 'I -4 m 2'
_space_group_IT_number 119
_space_group_name_Hall 'I -4 -2'
loop_
_atom_site_label
_atom_site_type_symbol
_atom_site_fract_x
_atom_site_fract_y
_atom_site_fract_z
Ac1 Ac 0.0000 0.0000 0.0000
Pa1 Pa 0.0000 0.5000 0.7500
Ga1 Ga 0.0000 0.0000 0.5000
Ga2 Ga 0.0000 0.5000 0.2500
O1 O 0.0000 0.1968 0.6809
O2 O 0.0000 0.3313 0.0492
```

(10)
Entry from Alexandria via LeMat-Bulk: a relaxed NiMoS2 crystal (PBE).

Properties
Total magnetization ... 0.00 μB/f.u.
E_form (uncorrected) ... -271 meV per atom
N(E_F) ... 0.32 states/eV per atom
ΔE to the lowest computed polymorph ... 0.0456 eV/atom
Uncorrected energy ... -0.2384 hartree per atom
Volume ... 281.7 Å³ per cell
Crystal system ... tetragonal

```
data_NiMoS2
_cell_length_a 5.3139
_cell_length_b 5.3139
_cell_length_c 9.9754
_cell_angle_alpha 90.00
_cell_angle_beta 90.00
_cell_angle_gamma 90.00
_space_group_name_H-M_alt 'I -4 2 d'
_space_group_IT_number 122
_space_group_name_Hall 'I -4 2bw'
loop_
_atom_site_label
_atom_site_type_symbol
_atom_site_fract_x
_atom_site_fract_y
_atom_site_fract_z
Ni1 Ni 0.0000 0.0000 0.0000
Mo1 Mo 0.0000 0.0000 0.5000
S1 S 0.2336 0.2500 0.1250
```

(11)
Entry from Alexandria via LeMat-Bulk: a relaxed TaFeSeN2 crystal (PBE).

Properties
Total magnetization ... 1.69 μB/f.u.
E_form (uncorrected) ... 950 meV per atom
N(E_F) ... 0.96 states/eV per atom
ΔE to the lowest computed polymorph ... 0.5355 eV/atom
Uncorrected energy ... -0.2624 hartree per atom
Volume ... 64.7 Å³ per cell
Crystal system ... tetragonal

```
data_TaFeSeN2
_cell_length_a 3.7132
_cell_length_b 3.7132
_cell_length_c 4.6929
_cell_angle_alpha 90.00
_cell_angle_beta 90.00
_cell_angle_gamma 90.00
_space_group_name_H-M_alt 'P 4/m m m'
_space_group_IT_number 123
_space_group_name_Hall '-P 4 2'
loop_
_atom_site_label
_atom_site_type_symbol
_atom_site_fract_x
_atom_site_fract_y
_atom_site_fract_z
Ta1 Ta 0.0000 0.0000 0.0000
Fe1 Fe 0.5000 0.5000 0.5000
Se1 Se 0.5000 0.5000 0.0000
N1 N 0.0000 0.5000 0.5000
```

(12)
Entry from Alexandria via LeMat-Bulk: a relaxed Li2ZrPb crystal (PBE).

Properties
Total magnetization ... 1.21 μB/f.u.
N(E_F) ... 0.72 states/eV per atom
Uncorrected energy ... -0.1474 hartree per atom
Volume ... 177.5 Å³ per cell
Crystal system ... orthorhombic
ΔE_f ... 0.010 eV per atom

```
data_Li2ZrPb
_cell_length_a 3.2855
_cell_length_b 5.1454
_cell_length_c 10.4971
_cell_angle_alpha 90.00
_cell_angle_beta 90.00
_cell_angle_gamma 90.00
_space_group_name_H-M_alt 'I m m m'
_space_group_IT_number 71
_space_group_name_Hall '-I 2 2'
loop_
_atom_site_label
_atom_site_type_symbol
_atom_site_fract_x
_atom_site_fract_y
_atom_site_fract_z
Li1 Li 0.0000 0.0000 0.2375
Zr1 Zr 0.0000 0.5000 0.0000
Pb1 Pb 0.0000 0.5000 0.5000
```

(13)
Entry from Alexandria via LeMat-Bulk: a relaxed Pm2Ag4Pd3 crystal (PBE).

Properties
Total magnetization ... 0.00 μB/f.u.
N(E_F) ... 0.47 states/eV per atom
Uncorrected energy ... -0.1643 hartree per atom
Volume ... 355.4 Å³ per cell
Crystal system ... monoclinic
ΔE_f ... -0.417 eV per atom

```
data_Pm2Ag4Pd3
_cell_length_a 10.0898
_cell_length_b 4.2891
_cell_length_c 9.0348
_cell_angle_alpha 90.00
_cell_angle_beta 114.64
_cell_angle_gamma 90.00
_space_group_name_H-M_alt 'C 1 2/m 1'
_space_group_IT_number 12
_space_group_name_Hall '-C 2y'
loop_
_atom_site_label
_atom_site_type_symbol
_atom_site_fract_x
_atom_site_fract_y
_atom_site_fract_z
Pm1 Pm 0.1704 0.0000 0.2354
Ag1 Ag 0.0041 0.5000 0.3408
Ag2 Ag 0.1682 0.0000 0.8886
Pd1 Pd 0.0000 0.5000 0.0000
Pd2 Pd 0.1552 0.0000 0.5545
```

(14)
Entry from Alexandria via LeMat-Bulk: a relaxed Pm4SmTh3N8 crystal (PBE).

Properties
Total magnetization ... 0.00 μB/f.u.
E_form (uncorrected) ... -1543 meV per atom
N(E_F) ... 0.15 states/eV per atom
Uncorrected energy ... -0.3153 hartree per atom
Volume ... 812.7 Å³ per cell
Crystal system ... trigonal

```
data_Pm4SmTh3N8
_cell_length_a 7.2692
_cell_length_b 7.2692
_cell_length_c 17.7590
_cell_angle_alpha 90.00
_cell_angle_beta 90.00
_cell_angle_gamma 120.00
_space_group_name_H-M_alt 'R -3 m'
_space_group_IT_number 166
_space_group_name_Hall '-R 3 2"'
loop_
_atom_site_label
_atom_site_type_symbol
_atom_site_fract_x
_atom_site_fract_y
_atom_site_fract_z
Pm1 Pm 0.0000 0.0000 0.0000
Pm2 Pm 0.0000 0.5000 0.0000
Sm1 Sm 0.0000 0.0000 0.5000
Th1 Th 0.0000 0.5000 0.5000
N1 N 0.0000 0.0000 0.2468
N2 N 0.0046 0.5023 0.7530
```

(15)
Entry from Alexandria via LeMat-Bulk: a relaxed MoSe3 crystal (PBE).

Properties
Total magnetization ... 1.98 μB/f.u.
E_form (uncorrected) ... 797 meV per atom
N(E_F) ... 0.60 states/eV per atom
Uncorrected energy ... -0.1663 hartree per atom
Volume ... 76.9 Å³ per cell
Crystal system ... cubic

```
data_MoSe3
_cell_length_a 4.2522
_cell_length_b 4.2522
_cell_length_c 4.2522
_cell_angle_alpha 90.00
_cell_angle_beta 90.00
_cell_angle_gamma 90.00
_space_group_name_H-M_alt 'P m -3 m'
_space_group_IT_number 221
_space_group_name_Hall '-P 4 2 3'
loop_
_atom_site_label
_atom_site_type_symbol
_atom_site_fract_x
_atom_site_fract_y
_atom_site_fract_z
Mo1 Mo 0.0000 0.0000 0.0000
Se1 Se 0.0000 0.5000 0.5000
```